No. 1
TiBeS2N: relaxed, PBE-GGA.

Calculated values
Uncorrected formation energy, eV per atom: 0.2893
Offset from the most stable computed form, meV/atom: 235
V, Å³ per cell: 86.0

CIF file:
```
data_TiBeS2N
_cell_length_a 4.789
_cell_length_b 4.789
_cell_length_c 3.750
_cell_angle_alpha 90.00
_cell_angle_beta 90.00
_cell_angle_gamma 90.00
_symmetry_space_group_name_H-M 'P 4/m m m'
_symmetry_Int_Tables_number 123
_symmetry_space_group_name_Hall '-P 4 2'
loop_
_atom_site_label
_atom_site_fract_x
_atom_site_fract_y
_atom_site_fract_z
Ti1 0.000 0.000 0.000
Be1 0.500 0.500 0.500
S1 0.000 0.500 0.000
N1 0.000 0.000 0.500
```

=====

No. 2
PrLuPd2: relaxed, PBE-GGA.

Calculated values
Energy relative to the elements, eV per atom: -0.83
Offset from the most stable computed form, meV/atom: 0
V, Å³ per cell: 88.5

CIF file:
```
data_PrLuPd2
_cell_length_a 3.459
_cell_length_b 3.459
_cell_length_c 7.393
_cell_angle_alpha 90.00
_cell_angle_beta 90.00
_cell_angle_gamma 90.00
_symmetry_space_group_name_H-M 'P 4/m m m'
_symmetry_Int_Tables_number 123
_symmetry_space_group_name_Hall '-P 4 2'
loop_
_atom_site_label
_atom_site_fract_x
_atom_site_fract_y
_atom_site_fract_z
Pr1 0.000 0.000 0.000
Lu1 0.000 0.000 0.500
Pd1 0.500 0.500 0.282
```

=====

No. 3
Er4Mg3Ru: relaxed, PBE-GGA.

Calculated values
Energy relative to the elements, eV per atom: -0.19
V, Å³ per cell: 200.3

CIF file:
```
data_Er4Mg3Ru
_cell_length_a 3.460
_cell_length_b 3.460
_cell_length_c 16.732
_cell_angle_alpha 90.00
_cell_angle_beta 90.00
_cell_angle_gamma 90.00
_symmetry_space_group_name_H-M 'P 4/m m m'
_symmetry_Int_Tables_number 123
_symmetry_space_group_name_Hall '-P 4 2'
loop_
_atom_site_label
_atom_site_fract_x
_atom_site_fract_y
_atom_site_fract_z
Er1 0.000 0.000 0.096
Er2 0.000 0.000 0.367
Mg1 0.500 0.500 0.237
Mg2 0.500 0.500 0.500
Ru1 0.500 0.500 0.000
```

=====

No. 4
Pm4Bi3N2: relaxed, PBE-GGA.

Calculated values
Uncorrected formation energy, eV per atom: -0.9610
V, Å³ per cell: 495.5

CIF file:
```
data_Pm4Bi3N2
_cell_length_a 14.175
_cell_length_b 3.979
_cell_length_c 9.651
_cell_angle_alpha 90.00
_cell_angle_beta 114.45
_cell_angle_gamma 90.00
_symmetry_space_group_name_H-M 'C 1 2/m 1'
_symmetry_Int_Tables_number 12
loop_
_symmetry_equiv_pos_as_xyz
'x,y,z'
'-x,-y,-z'
'-x,y,-z'
'x,-y,z'
'x+1/2,y+1/2,z'
'-x+1/2,-y+1/2,-z'
'-x+1/2,y+1/2,-z'
'x+1/2,-y+1/2,z'
loop_
_atom_site_label
_atom_site_fract_x
_atom_site_fract_y
_atom_site_fract_z
Pm1 0.135 0.000 0.431
Pm2 0.204 0.500 0.146
Bi1 0.000 0.000 0.000
Bi2 0.089 0.500 0.744
N1 0.200 0.500 0.370
```

=====

No. 5
ZnAu2I: relaxed, PBE-GGA.

Calculated values
Uncorrected formation energy, eV per atom: 0.4600
Offset from the most stable computed form, meV/atom: 241
V, Å³ per cell: 348.4

CIF file:
```
data_ZnAu2I
_cell_length_a 7.037
_cell_length_b 7.037
_cell_length_c 7.037
_cell_angle_alpha 90.00
_cell_angle_beta 90.00
_cell_angle_gamma 90.00
_symmetry_space_group_name_H-M 'F m -3 m'
_symmetry_Int_Tables_number 225
_symmetry_space_group_name_Hall '-F 4 2 3'
loop_
_atom_site_label
_atom_site_fract_x
_atom_site_fract_y
_atom_site_fract_z
Zn1 0.000 0.000 0.000
Au1 0.250 0.250 0.250
I1 0.000 0.000 0.500
```

=====

No. 6
Pr5Tl2Bi: relaxed, PBE-GGA.

Calculated values
Energy relative to the elements, eV per atom: -0.44
V, Å³ per cell: 1049.2

CIF file:
```
data_Pr5Tl2Bi
_cell_length_a 8.833
_cell_length_b 8.833
_cell_length_c 13.446
_cell_angle_alpha 90.00
_cell_angle_beta 90.00
_cell_angle_gamma 90.00
_symmetry_space_group_name_H-M 'I 4/m c m'
_symmetry_Int_Tables_number 140
_symmetry_space_group_name_Hall '-I 4 2c'
loop_
_atom_site_label
_atom_site_fract_x
_atom_site_fract_y
_atom_site_fract_z
Pr1 0.000 0.000 0.000
Pr2 0.157 0.343 0.150
Tl1 0.142 0.358 0.500
Bi1 0.000 0.000 0.250
```

=====

No. 7
MgCo2Ir: relaxed, PBE-GGA.

Calculated values
Energy relative to the elements, eV per atom: 0.01
V, Å³ per cell: 104.4

CIF file:
```
data_MgCo2Ir
_cell_length_a 9.418
_cell_length_b 2.706
_cell_length_c 4.499
_cell_angle_alpha 90.00
_cell_angle_beta 114.35
_cell_angle_gamma 90.00
_symmetry_space_group_name_H-M 'C 1 m 1'
_symmetry_Int_Tables_number 8
loop_
_symmetry_equiv_pos_as_xyz
'x,y,z'
'x,-y,z'
'x+1/2,y+1/2,z'
'x+1/2,-y+1/2,z'
loop_
_atom_site_label
_atom_site_fract_x
_atom_site_fract_y
_atom_site_fract_z
Mg1 0.000 0.000 0.000
Co1 0.017 0.500 0.496
Co2 0.240 0.000 0.865
Ir1 0.272 0.500 0.387
```

=====

No. 8
Lu2ThTi: relaxed, PBE-GGA.

Calculated values
Energy relative to the elements, eV per atom: 0.15
Offset from the most stable computed form, meV/atom: 2
V, Å³ per cell: 107.0

CIF file:
```
data_Lu2ThTi
_cell_length_a 3.344
_cell_length_b 3.344
_cell_length_c 9.568
_cell_angle_alpha 90.00
_cell_angle_beta 90.00
_cell_angle_gamma 90.00
_symmetry_space_group_name_H-M 'P 4/m m m'
_symmetry_Int_Tables_number 123
_symmetry_space_group_name_Hall '-P 4 2'
loop_
_atom_site_label
_atom_site_fract_x
_atom_site_fract_y
_atom_site_fract_z
Lu1 0.000 0.000 0.218
Th1 0.500 0.500 0.500
Ti1 0.500 0.500 0.000
```

=====

No. 9
CsReS2N: relaxed, PBE-GGA.

Calculated values
Uncorrected formation energy, eV per atom: 2.8119
Offset from the most stable computed form, meV/atom: 2841
V, Å³ per cell: 139.4

CIF file:
```
data_CsReS2N
_cell_length_a 5.630
_cell_length_b 5.630
_cell_length_c 4.399
_cell_angle_alpha 90.00
_cell_angle_beta 90.00
_cell_angle_gamma 90.00
_symmetry_space_group_name_H-M 'P 4/m m m'
_symmetry_Int_Tables_number 123
_symmetry_space_group_name_Hall '-P 4 2'
loop_
_atom_site_label
_atom_site_fract_x
_atom_site_fract_y
_atom_site_fract_z
Cs1 0.000 0.000 0.000
Re1 0.500 0.500 0.500
S1 0.000 0.500 0.000
N1 0.000 0.000 0.500
```

=====

No. 10
CaMg5Ag2: relaxed, PBE-GGA.

Calculated values
Energy relative to the elements, eV per atom: -0.16
V, Å³ per cell: 381.3

CIF file:
```
data_CaMg5Ag2
_cell_length_a 4.450
_cell_length_b 8.403
_cell_length_c 10.195
_cell_angle_alpha 90.00
_cell_angle_beta 90.00
_cell_angle_gamma 90.00
_symmetry_space_group_name_H-M 'I m m m'
_symmetry_Int_Tables_number 71
_symmetry_space_group_name_Hall '-I 2 2'
loop_
_atom_site_label
_atom_site_fract_x
_atom_site_fract_y
_atom_site_fract_z
Ca1 0.000 0.000 0.000
Mg1 0.000 0.184 0.343
Mg2 0.000 0.500 0.000
Ag1 0.000 0.500 0.268
```

=====

No. 11
ReNiBr2: relaxed, PBE-GGA.

Calculated values
Uncorrected formation energy, eV per atom: 1.0036
Offset from the most stable computed form, meV/atom: 673
V, Å³ per cell: 73.1

CIF file:
```
data_ReNiBr2
_cell_length_a 3.066
_cell_length_b 4.119
_cell_length_c 5.830
_cell_angle_alpha 90.00
_cell_angle_beta 96.70
_cell_angle_gamma 90.00
_symmetry_space_group_name_H-M 'P 1 2/m 1'
_symmetry_Int_Tables_number 10
loop_
_symmetry_equiv_pos_as_xyz
'x,y,z'
'-x,-y,-z'
'-x,y,-z'
'x,-y,z'
loop_
_atom_site_label
_atom_site_fract_x
_atom_site_fract_y
_atom_site_fract_z
Re1 0.000 0.000 0.000
Ni1 0.000 0.000 0.500
Br1 0.178 0.500 0.252
```

=====

No. 12
Cs2SrReCl6: relaxed, PBE-GGA.

Calculated values
Uncorrected formation energy, eV per atom: -1.4170
V, Å³ per cell: 1196.2

CIF file:
```
data_Cs2SrReCl6
_cell_length_a 10.615
_cell_length_b 10.615
_cell_length_c 10.615
_cell_angle_alpha 90.00
_cell_angle_beta 90.00
_cell_angle_gamma 90.00
_symmetry_space_group_name_H-M 'F m -3 m'
_symmetry_Int_Tables_number 225
_symmetry_space_group_name_Hall '-F 4 2 3'
loop_
_atom_site_label
_atom_site_fract_x
_atom_site_fract_y
_atom_site_fract_z
Cs1 0.250 0.250 0.250
Sr1 0.000 0.000 0.000
Re1 0.000 0.000 0.500
Cl1 0.000 0.000 0.269
```

=====

No. 13
PuPa4Ir: relaxed, PBE-GGA.

Calculated values
Energy relative to the elements, eV per atom: -0.17
V, Å³ per cell: 594.2

CIF file:
```
data_PuPa4Ir
_cell_length_a 6.617
_cell_length_b 6.617
_cell_length_c 13.572
_cell_angle_alpha 90.00
_cell_angle_beta 90.00
_cell_angle_gamma 90.00
_symmetry_space_group_name_H-M 'I 41/a'
_symmetry_Int_Tables_number 88
loop_
_symmetry_equiv_pos_as_xyz
'x,y,z'
'-x,-y,-z'
'-y+3/4,x+1/4,z+1/4'
'y+3/4,-x+1/4,-z+1/4'
'-x+1/2,-y,z+1/2'
'x+1/2,y,-z+1/2'
'y+3/4,-x+3/4,z+3/4'
'-y+3/4,x+3/4,-z+3/4'
'x+1/2,y+1/2,z+1/2'
'-x+1/2,-y+1/2,-z+1/2'
'-y+1/4,x+3/4,z+3/4'
'y+1/4,-x+3/4,-z+3/4'
'-x,-y+1/2,z'
'x,y+1/2,-z'
'y+1/4,-x+1/4,z+1/4'
'-y+1/4,x+1/4,-z+1/4'
loop_
_atom_site_label
_atom_site_fract_x
_atom_site_fract_y
_atom_site_fract_z
Pu1 0.000 0.250 0.125
Pa1 0.216 0.018 0.220
Ir1 0.000 0.250 0.625
```

=====

No. 14
CoRuAu2: relaxed, PBE-GGA.

Calculated values
Energy relative to the elements, eV per atom: 0.38
V, Å³ per cell: 124.0

CIF file:
```
data_CoRuAu2
_cell_length_a 3.987
_cell_length_b 3.987
_cell_length_c 7.802
_cell_angle_alpha 90.00
_cell_angle_beta 90.00
_cell_angle_gamma 90.00
_symmetry_space_group_name_H-M 'I -4 m 2'
_symmetry_Int_Tables_number 119
_symmetry_space_group_name_Hall 'I -4 -2'
loop_
_atom_site_label
_atom_site_fract_x
_atom_site_fract_y
_atom_site_fract_z
Co1 0.000 0.000 0.000
Ru1 0.000 0.500 0.750
Au1 0.000 0.000 0.500
Au2 0.000 0.500 0.250
```

=====

No. 15
Li2PtS2: relaxed, PBE-GGA.

Calculated values
Uncorrected formation energy, eV per atom: -0.7570
Offset from the most stable computed form, meV/atom: 172
V, Å³ per cell: 156.6

CIF file:
```
data_Li2PtS2
_cell_length_a 6.470
_cell_length_b 6.470
_cell_length_c 3.741
_cell_angle_alpha 90.00
_cell_angle_beta 90.00
_cell_angle_gamma 90.00
_symmetry_space_group_name_H-M 'P 4/m b m'
_symmetry_Int_Tables_number 127
_symmetry_space_group_name_Hall '-P 4 2ab'
loop_
_atom_site_label
_atom_site_fract_x
_atom_site_fract_y
_atom_site_fract_z
Li1 0.148 0.352 0.000
Pt1 0.000 0.000 0.500
S1 0.169 0.669 0.500
```

=====

No. 16
Ba2LaReO8: relaxed, PBE-GGA.

Calculated values
Uncorrected formation energy, eV per atom: -2.2107
V, Å³ per cell: 176.9

CIF file:
```
data_Ba2LaReO8
_cell_length_a 4.515
_cell_length_b 6.033
_cell_length_c 6.729
_cell_angle_alpha 94.09
_cell_angle_beta 104.10
_cell_angle_gamma 92.76
_symmetry_space_group_name_H-M 'P -1'
_symmetry_Int_Tables_number 2
loop_
_symmetry_equiv_pos_as_xyz
'x,y,z'
'-x,-y,-z'
loop_
_atom_site_label
_atom_site_fract_x
_atom_site_fract_y
_atom_site_fract_z
Ba1 0.181 0.498 0.280
La1 0.500 0.000 0.000
Re1 0.000 0.000 0.500
O1 0.099 0.977 0.226
O2 0.279 0.246 0.604
O3 0.290 0.801 0.615
O4 0.427 0.599 0.958
```

=====

No. 17
Cd3PPt: relaxed, PBE-GGA.

Calculated values
Energy relative to the elements, eV per atom: 0.53
Offset from the most stable computed form, meV/atom: 68
V, Å³ per cell: 120.9

CIF file:
```
data_Cd3PPt
_cell_length_a 4.945
_cell_length_b 4.945
_cell_length_c 4.945
_cell_angle_alpha 90.00
_cell_angle_beta 90.00
_cell_angle_gamma 90.00
_symmetry_space_group_name_H-M 'P m -3 m'
_symmetry_Int_Tables_number 221
_symmetry_space_group_name_Hall '-P 4 2 3'
loop_
_atom_site_label
_atom_site_fract_x
_atom_site_fract_y
_atom_site_fract_z
Cd1 0.000 0.000 0.500
P1 0.000 0.000 0.000
Pt1 0.500 0.500 0.500
```

=====

No. 18
BaAlGa: relaxed, PBE-GGA.

Calculated values
Energy relative to the elements, eV per atom: -0.35
V, Å³ per cell: 170.7

CIF file:
```
data_BaAlGa
_cell_length_a 4.470
_cell_length_b 6.320
_cell_length_c 6.922
_cell_angle_alpha 74.66
_cell_angle_beta 71.24
_cell_angle_gamma 69.33
_symmetry_space_group_name_H-M 'P 1'
_symmetry_Int_Tables_number 1
loop_
_symmetry_equiv_pos_as_xyz
'x,y,z'
loop_
_atom_site_label
_atom_site_fract_x
_atom_site_fract_y
_atom_site_fract_z
Ba1 0.000 0.000 0.000
Ba2 0.120 0.424 0.334
Al1 0.341 0.824 0.492
Al2 0.420 0.414 0.745
Ga1 0.695 0.016 0.593
Ga2 0.771 0.606 0.852
```

=====

No. 19
Ac5LaPd4: relaxed, PBE-GGA.

Calculated values
Energy relative to the elements, eV per atom: -0.60
V, Å³ per cell: 702.2

CIF file:
```
data_Ac5LaPd4
_cell_length_a 19.073
_cell_length_b 4.397
_cell_length_c 8.645
_cell_angle_alpha 90.00
_cell_angle_beta 104.41
_cell_angle_gamma 90.00
_symmetry_space_group_name_H-M 'C 1 2/m 1'
_symmetry_Int_Tables_number 12
loop_
_symmetry_equiv_pos_as_xyz
'x,y,z'
'-x,-y,-z'
'-x,y,-z'
'x,-y,z'
'x+1/2,y+1/2,z'
'-x+1/2,-y+1/2,-z'
'-x+1/2,y+1/2,-z'
'x+1/2,-y+1/2,z'
loop_
_atom_site_label
_atom_site_fract_x
_atom_site_fract_y
_atom_site_fract_z
Ac1 0.000 0.000 0.000
Ac2 0.164 0.500 0.835
Ac3 0.167 0.500 0.347
La1 0.000 0.000 0.500
Pd1 0.000 0.500 0.250
Pd2 0.167 0.000 0.595
```

=====

No. 20
CrCo2SbH: relaxed, PBE-GGA.

Calculated values
V, Å³ per cell: 55.5

CIF file:
```
data_CrCo2SbH
_cell_length_a 3.862
_cell_length_b 3.862
_cell_length_c 3.724
_cell_angle_alpha 90.00
_cell_angle_beta 90.00
_cell_angle_gamma 90.00
_symmetry_space_group_name_H-M 'P 4/m m m'
_symmetry_Int_Tables_number 123
_symmetry_space_group_name_Hall '-P 4 2'
loop_
_atom_site_label
_atom_site_fract_x
_atom_site_fract_y
_atom_site_fract_z
Cr1 0.000 0.000 0.000
Co1 0.000 0.500 0.500
Sb1 0.500 0.500 0.000
H1 0.000 0.000 0.500
```

=====

| no. | total energy (eV/atom) |
| --- | --- |
| 1 | -5.351 |
| 2 | -5.753 |
| 3 | -4.228 |
| 4 | -6.216 |
| 5 | -1.885 |
| 6 | -4.506 |
| 7 | -6.159 |
| 8 | -5.938 |
| 9 | -3.164 |
| 10 | -2.115 |
| 11 | -4.390 |
| 12 | -4.109 |
| 13 | -10.366 |
| 14 | -5.359 |
| 15 | -4.382 |
| 16 | -7.285 |
| 17 | -2.306 |
| 18 | -3.247 |
| 19 | -5.223 |
| 20 | -6.249 |